[1]
LaZrCd4 at its PBEsol-relaxed geometry, computed with SCAN.

Unit cell a=5.778 b=5.778 c=5.778 alpha=60.00 beta=60.00 gamma=60.00
Each line ends with the local moment (μB).
Atoms (fractional coordinates):
1 Cd 0.374 0.374 0.374  0.01
2 Cd 0.374 0.374 0.877  0.01
3 Cd 0.877 0.374 0.374  0.01
4 Cd 0.374 0.877 0.374  0.01
5 La 0.750 0.750 0.750  0.28
6 Zr 0.000 0.000 0.000  0.94

calculated formation energy: -242 meV per atom


[2]
Ca2TeMoS at its PBEsol-relaxed geometry, computed with SCAN.

Unit cell a=5.209 b=5.794 c=5.794 alpha=90.00 beta=90.00 gamma=90.00
Each line ends with the local moment (μB).
Atoms (fractional coordinates):
1 S 0.500 0.000 0.000  0.05
2 Mo 0.500 0.500 0.500  4.25
3 Te 0.000 0.000 0.000  0.01
4 Ca 0.000 0.000 0.500  0.03
5 Ca 0.000 0.500 0.000  0.03

formation energy from raw total energies: 0.4373 eV per atom


[3]
KRh3Se at its PBEsol-relaxed geometry, computed with SCAN.

Unit cell a=4.611 b=4.611 c=4.611 alpha=90.00 beta=90.00 gamma=90.00
Each line ends with the local moment (μB).
Atoms (fractional coordinates):
1 K 0.000 0.000 0.000  0.03
2 Rh 0.000 0.500 0.000  1.12
3 Rh 0.000 0.000 0.500  1.12
4 Rh 0.500 0.000 0.000  1.12
5 Se 0.500 0.500 0.500  0.31

formation energy from raw total energies: 2.2996 eV per atom


[4]
TlTc2Pt at its PBEsol-relaxed geometry, computed with SCAN.

Unit cell a=2.815 b=4.114 c=5.694 alpha=90.00 beta=90.05 gamma=90.00
Atoms (fractional coordinates):
1 Pt 0.500 0.500 0.500
2 Tc 0.000 0.000 0.704
3 Tc 0.000 0.000 0.296
4 Tl 0.500 0.500 0.000

calculated formation energy: 419 meV per atom
energy relative to the lowest polymorph listed for this composition: 91.1 kJ/mol of formula units


Copy entry 1 word for word.
LaZrCd4 at its PBEsol-relaxed geometry, computed with SCAN.

Unit cell a=5.778 b=5.778 c=5.778 alpha=60.00 beta=60.00 gamma=60.00
Each line ends with the local moment (μB).
Atoms (fractional coordinates):
1 Cd 0.374 0.374 0.374  0.01
2 Cd 0.374 0.374 0.877  0.01
3 Cd 0.877 0.374 0.374  0.01
4 Cd 0.374 0.877 0.374  0.01
5 La 0.750 0.750 0.750  0.28
6 Zr 0.000 0.000 0.000  0.94

calculated formation energy: -242 meV per atom


Copy entry 2 word for word.
Ca2TeMoS at its PBEsol-relaxed geometry, computed with SCAN.

Unit cell a=5.209 b=5.794 c=5.794 alpha=90.00 beta=90.00 gamma=90.00
Each line ends with the local moment (μB).
Atoms (fractional coordinates):
1 S 0.500 0.000 0.000  0.05
2 Mo 0.500 0.500 0.500  4.25
3 Te 0.000 0.000 0.000  0.01
4 Ca 0.000 0.000 0.500  0.03
5 Ca 0.000 0.500 0.000  0.03

formation energy from raw total energies: 0.4373 eV per atom